i | Density functional theory data (PBE) for a relaxed TlAsRu2 crystal.

Lattice parameters (Å, degrees): 8.229 8.229 8.229 21.88 21.88 21.88
Sites, in units of the cell vectors:
Tl 0.000 0.000 0.000
As 0.500 0.500 0.500
Ru 0.238 0.238 0.238
Ru 0.762 0.762 0.762

## Properties
Space-group type: R-3m, No. 166

ii | Density functional theory data (PBE) for a relaxed TlAsRu2 crystal.

Lattice parameters (Å, degrees): 4.602 4.602 4.602 60.00 60.00 60.00
Sites, in units of the cell vectors:
Tl 0.000 0.000 0.000
As 0.750 0.750 0.750
Ru 0.250 0.250 0.250
Ru 0.500 0.500 0.500

## Properties
Space-group type: F-43m, No. 216

Decreasing stability: i, ii

i | Density functional theory data (PBE) for a relaxed TlAsRu2 crystal.

Lattice parameters (Å, degrees): 3.206 4.222 5.137 90.00 90.00 90.00
Sites, in units of the cell vectors:
Tl 0.000 0.000 0.000
As 0.500 0.000 0.500
Ru 0.000 0.500 0.500
Ru 0.500 0.500 0.000

## Properties
Space-group type: Pmmm, No. 47

ii | Density functional theory data (PBE) for a relaxed TlAsRu2 crystal.

Lattice parameters (Å, degrees): 4.511 4.511 3.217 90.00 90.00 90.00
Sites, in units of the cell vectors:
Tl 0.000 0.000 0.000
As 0.500 0.500 0.000
Ru 0.000 0.500 0.500
Ru 0.500 0.000 0.500

## Properties
Space-group type: P4/mmm, No. 123

iii | Density functional theory data (PBE) for a relaxed TlAsRu2 crystal.

Lattice parameters (Å, degrees): 3.109 3.869 5.836 90.00 101.41 90.00
Sites, in units of the cell vectors:
Tl 0.000 0.000 0.000
As 0.500 0.000 0.500
Ru 0.339 0.500 0.714
Ru 0.661 0.500 0.286

## Properties
Space-group type: P2/m, No. 10

Decreasing stability: iii, ii, i

i | Density functional theory data (PBE) for a relaxed TlAsRu2 crystal.

Lattice parameters (Å, degrees): 5.804 5.804 5.804 104.76 104.76 119.37
Sites, in units of the cell vectors:
Tl 0.000 0.000 0.000
Tl 0.750 0.250 0.500
As 0.250 0.750 0.500
As 0.500 0.500 0.000
Ru 0.185 0.625 0.060
Ru 0.375 0.435 0.560
Ru 0.565 0.125 0.940
Ru 0.875 0.815 0.440

## Properties
Space-group type: I-42d, No. 122

ii | Density functional theory data (PBE) for a relaxed TlAsRu2 crystal.

Lattice parameters (Å, degrees): 3.084 4.713 4.868 90.00 90.18 90.00
Sites, in units of the cell vectors:
Tl 0.000 0.000 0.000
As 0.500 0.500 0.703
Ru 0.499 0.000 0.490
Ru 0.998 0.500 0.327

## Properties
Space-group type: Pm, No. 6

iii | Density functional theory data (PBE) for a relaxed TlAsRu2 crystal.

Lattice parameters (Å, degrees): 3.078 3.078 6.860 90.00 90.00 90.35
Sites, in units of the cell vectors:
Tl 0.000 0.000 0.000
As 0.000 0.000 0.500
Ru 0.500 0.500 0.292
Ru 0.500 0.500 0.708

## Properties
Space-group type: Cmmm, No. 65

iv | Density functional theory data (PBE) for a relaxed TlAsRu2 crystal.

Lattice parameters (Å, degrees): 2.939 2.939 8.449 90.00 90.00 90.00
Sites, in units of the cell vectors:
Tl 0.000 0.000 0.000
As 0.500 0.500 0.355
Ru 0.000 0.000 0.539
Ru 0.500 0.500 0.742

## Properties
Space-group type: P4mm, No. 99

Decreasing stability: iii, iv, ii, i

i | Density functional theory data (PBE) for a relaxed TlAsRu2 crystal.

Lattice parameters (Å, degrees): 5.377 5.377 5.377 138.15 138.15 60.68
Sites, in units of the cell vectors:
Tl 0.000 0.000 0.000
As 0.750 0.250 0.500
Ru 0.250 0.750 0.500
Ru 0.500 0.500 0.000

## Properties
Space-group type: I-4m2, No. 119

ii | Density functional theory data (PBE) for a relaxed TlAsRu2 crystal.

Lattice parameters (Å, degrees): 4.557 4.557 5.984 100.13 100.13 38.90
Sites, in units of the cell vectors:
Tl 0.000 0.000 0.000
As 0.199 0.199 0.561
Ru 0.481 0.481 0.565
Ru 0.766 0.766 0.275

## Properties
Space-group type: Cm, No. 8

Decreasing stability: ii, i

i | Density functional theory data (PBE) for a relaxed TlAsRu2 crystal.

Lattice parameters (Å, degrees): 3.913 3.913 7.519 109.96 109.96 45.51
Sites, in units of the cell vectors:
Tl 0.000 0.000 0.000
As 0.500 0.500 0.500
Ru 0.279 0.279 0.671
Ru 0.721 0.721 0.329

## Properties
Space-group type: C2/m, No. 12

ii | Density functional theory data (PBE) for a relaxed TlAsRu2 crystal.

Lattice parameters (Å, degrees): 5.208 5.208 3.056 105.90 105.90 108.30
Sites, in units of the cell vectors:
Tl 0.000 0.000 0.000
As 0.500 0.500 0.000
Ru 0.000 0.500 0.500
Ru 0.500 0.000 0.500

## Properties
Space-group type: C2/m, No. 12

iii | Density functional theory data (PBE) for a relaxed TlAsRu2 crystal.

Lattice parameters (Å, degrees): 3.279 3.279 6.596 90.00 90.00 90.00
Sites, in units of the cell vectors:
Tl 0.000 0.000 0.000
As 0.500 0.500 0.351
Ru 0.000 0.000 0.497
Ru 0.500 0.500 0.745

## Properties
Space-group type: P4mm, No. 99

iv | Density functional theory data (PBE) for a relaxed TlAsRu2 crystal.

Lattice parameters (Å, degrees): 7.444 7.444 7.444 155.82 155.11 34.98
Sites, in units of the cell vectors:
Tl 0.000 0.000 0.000
As 0.255 0.755 0.500
Ru 0.630 0.630 0.000
Ru 0.830 0.330 0.500

## Properties
Space-group type: Imm2, No. 44

Decreasing stability: i, iv, iii, ii

i | Density functional theory data (PBE) for a relaxed TlAsRu2 crystal.

Lattice parameters (Å, degrees): 5.236 5.236 5.236 145.61 118.92 72.01
Sites, in units of the cell vectors:
Tl 0.000 0.000 0.000
As 0.500 0.500 0.000
Ru 0.281 0.781 0.500
Ru 0.719 0.219 0.500

## Properties
Space-group type: Immm, No. 71

ii | Density functional theory data (PBE) for a relaxed TlAsRu2 crystal.

Lattice parameters (Å, degrees): 4.521 4.521 4.521 60.00 60.00 60.00
Sites, in units of the cell vectors:
Tl 0.000 0.000 0.000
As 0.500 0.500 0.500
Ru 0.250 0.250 0.250
Ru 0.750 0.750 0.750

## Properties
Space-group type: Fm-3m, No. 225

Decreasing stability: ii, i

i | Density functional theory data (PBE) for a relaxed Tl3AsRu crystal.

Lattice parameters (Å, degrees): 5.432 5.432 5.432 90.00 90.00 90.00
Sites, in units of the cell vectors:
Tl 0.000 0.000 0.500
Tl 0.000 0.500 0.000
Tl 0.500 0.000 0.000
As 0.000 0.000 0.000
Ru 0.500 0.500 0.500

## Properties
Space-group type: Pm-3m, No. 221

ii | Density functional theory data (PBE) for a relaxed Tl3AsRu crystal.

Lattice parameters (Å, degrees): 5.280 5.280 5.280 90.00 90.00 90.00
Sites, in units of the cell vectors:
Tl 0.000 0.000 0.500
Tl 0.000 0.500 0.000
Tl 0.500 0.000 0.000
As 0.500 0.500 0.500
Ru 0.000 0.000 0.000

## Properties
Space-group type: Pm-3m, No. 221

Decreasing stability: ii, i

i | Density functional theory data (PBE) for a relaxed UAsRu2 crystal.

Lattice parameters (Å, degrees): 4.174 4.174 3.854 90.00 90.00 90.00
Sites, in units of the cell vectors:
U 0.000 0.000 0.000
As 0.500 0.500 0.000
Ru 0.000 0.500 0.500
Ru 0.500 0.000 0.500

## Properties
Space-group type: P4/mmm, No. 123

ii | Density functional theory data (PBE) for a relaxed UAsRu2 crystal.

Lattice parameters (Å, degrees): 4.559 4.559 4.559 61.38 61.38 61.38
Sites, in units of the cell vectors:
U 0.000 0.000 0.000
As 0.500 0.500 0.500
Ru 0.271 0.271 0.271
Ru 0.729 0.729 0.729

## Properties
Space-group type: R-3m, No. 166

iii | Density functional theory data (PBE) for a relaxed UAsRu2 crystal.

Lattice parameters (Å, degrees): 4.935 4.741 5.953 90.00 100.04 90.00
Sites, in units of the cell vectors:
U 0.188 0.250 0.239
U 0.812 0.750 0.761
As 0.245 0.250 0.735
As 0.755 0.750 0.265
Ru 0.293 0.750 0.410
Ru 0.313 0.750 0.921
Ru 0.687 0.250 0.079
Ru 0.707 0.250 0.590

## Properties
Space-group type: P2_1/m, No. 11

Decreasing stability: iii, i, ii

i | Density functional theory data (PBE) for a relaxed UAs2Ru crystal.

Lattice parameters (Å, degrees): 6.513 6.513 6.513 34.77 34.77 34.77
Sites, in units of the cell vectors:
U 0.000 0.000 0.000
As 0.429 0.429 0.429
As 0.572 0.572 0.572
Ru 0.819 0.819 0.819

## Properties
Space-group type: R3m, No. 160

ii | Density functional theory data (PBE) for a relaxed UAs2Ru crystal.

Lattice parameters (Å, degrees): 8.254 8.254 8.254 28.24 28.24 28.24
Sites, in units of the cell vectors:
U 0.000 0.000 0.000
As 0.400 0.400 0.400
As 0.600 0.600 0.600
Ru 0.500 0.500 0.500

## Properties
Space-group type: R-3m, No. 166

Decreasing stability: i, ii

i | Density functional theory data (PBE) for a relaxed VAs2Ru crystal.

Lattice parameters (Å, degrees): 4.341 4.341 4.341 60.00 60.00 60.00
Sites, in units of the cell vectors:
V 0.000 0.000 0.000
As 0.250 0.250 0.250
As 0.750 0.750 0.750
Ru 0.500 0.500 0.500

## Properties
Space-group type: Fm-3m, No. 225

ii | Density functional theory data (PBE) for a relaxed VAs2Ru crystal.

Lattice parameters (Å, degrees): 8.689 8.689 8.689 153.16 153.16 38.33
Sites, in units of the cell vectors:
V 0.000 0.000 0.000
V 0.750 0.250 0.500
As 0.130 0.625 0.005
As 0.375 0.380 0.505
As 0.620 0.125 0.995
As 0.875 0.870 0.495
Ru 0.250 0.750 0.500
Ru 0.500 0.500 0.000

## Properties
Space-group type: I-42d, No. 122

Decreasing stability: i, ii

i | Density functional theory data (PBE) for a relaxed V3AsRu crystal.

Lattice parameters (Å, degrees): 4.556 4.556 4.556 90.00 90.00 90.00
Sites, in units of the cell vectors:
V 0.000 0.000 0.500
V 0.000 0.500 0.000
V 0.500 0.000 0.000
As 0.500 0.500 0.500
Ru 0.000 0.000 0.000

## Properties
Space-group type: Pm-3m, No. 221

ii | Density functional theory data (PBE) for a relaxed V3AsRu crystal.

Lattice parameters (Å, degrees): 4.406 4.406 4.406 90.00 90.00 90.00
Sites, in units of the cell vectors:
V 0.000 0.000 0.500
V 0.000 0.500 0.000
V 0.500 0.000 0.000
As 0.000 0.000 0.000
Ru 0.500 0.500 0.500

## Properties
Space-group type: Pm-3m, No. 221

Decreasing stability: ii, i